# 1
# Pa2Zn3Ga2 PBE-GGA optimized geometry
data_Pa2Zn3Ga2
_chemical_formula_sum 'Pa2 Zn3 Ga2'
_space_group_name_H-M_alt 'P 1'
_space_group_IT_number 1
_cell_length_a 2.981
_cell_length_b 4.121
_cell_length_c 11.402
_cell_angle_alpha 100.41
_cell_angle_beta 90.00
_cell_angle_gamma 90.00
loop_
_space_group_symop_operation_xyz
'x,y,z'
loop_
_atom_site_label
_atom_site_fract_x
_atom_site_fract_y
_atom_site_fract_z
Zn1 0.500 0.561 0.122
Zn2 0.500 0.439 0.878
Zn3 0.000 0.000 0.000
Pa1 0.000 0.855 0.710
Pa2 0.000 0.145 0.290
Ga1 0.500 0.282 0.565
Ga2 0.500 0.718 0.435
# Distance to the lowest polymorph of the same formula   131 meV per atom
# Energy relative to the elements   -1.4 kcal/mol of atoms



# 2
# LiIn2Se2 PBE-GGA optimized geometry
data_LiIn2Se2
_chemical_formula_sum 'Li1 In2 Se2'
_space_group_name_H-M_alt 'P 1'
_space_group_IT_number 1
_cell_length_a 5.465
_cell_length_b 5.465
_cell_length_c 5.951
_cell_angle_alpha 62.67
_cell_angle_beta 62.67
_cell_angle_gamma 90.00
loop_
_space_group_symop_operation_xyz
'x,y,z'
loop_
_atom_site_label
_atom_site_fract_x
_atom_site_fract_y
_atom_site_fract_z
In1 0.342 0.342 0.316
In2 0.658 0.658 0.684
Li1 0.000 0.000 0.000
Se1 0.250 0.750 0.500
Se2 0.750 0.250 0.500
# Formation energy without anion corrections   -0.416 eV/atom
# Distance to the lowest polymorph of the same formula   35 meV per atom



# 3
# LuSc2Si PBE-GGA optimized geometry
data_LuSc2Si
_chemical_formula_sum 'Lu1 Sc2 Si1'
_space_group_name_H-M_alt 'P 1'
_space_group_IT_number 1
_cell_length_a 4.413
_cell_length_b 4.366
_cell_length_c 4.366
_cell_angle_alpha 90.00
_cell_angle_beta 90.00
_cell_angle_gamma 90.00
loop_
_space_group_symop_operation_xyz
'x,y,z'
loop_
_atom_site_label
_atom_site_fract_x
_atom_site_fract_y
_atom_site_fract_z
Sc1 0.000 0.000 0.500
Sc2 0.000 0.500 0.000
Lu1 0.500 0.000 0.000
Si1 0.500 0.500 0.500
# Formation energy without anion corrections   -0.308 eV/atom



# 4
# AcLa2Te3 PBE-GGA optimized geometry
data_AcLa2Te3
_chemical_formula_sum 'Ac1 La2 Te3'
_space_group_name_H-M_alt 'P 1'
_space_group_IT_number 1
_cell_length_a 4.568
_cell_length_b 4.568
_cell_length_c 10.185
_cell_angle_alpha 90.00
_cell_angle_beta 90.00
_cell_angle_gamma 90.00
loop_
_space_group_symop_operation_xyz
'x,y,z'
loop_
_atom_site_label
_atom_site_fract_x
_atom_site_fract_y
_atom_site_fract_z
Te1 0.000 0.500 0.683
Te2 0.500 0.000 0.317
Te3 0.000 0.000 0.000
Ac1 0.500 0.500 0.000
La1 0.000 0.500 0.367
La2 0.500 0.000 0.633
# Formation energy without anion corrections   -1.335 eV/atom
# Distance to the lowest polymorph of the same formula   222 meV per atom



# 5
# MgZrSnPd2 PBE-GGA optimized geometry
data_MgZrSnPd2
_chemical_formula_sum 'Mg1 Zr1 Sn1 Pd2'
_space_group_name_H-M_alt 'P 1'
_space_group_IT_number 1
_cell_length_a 4.542
_cell_length_b 5.327
_cell_length_c 4.542
_cell_angle_alpha 90.00
_cell_angle_beta 90.00
_cell_angle_gamma 90.00
loop_
_space_group_symop_operation_xyz
'x,y,z'
loop_
_atom_site_label
_atom_site_fract_x
_atom_site_fract_y
_atom_site_fract_z
Zr1 0.000 0.500 0.000
Sn1 0.500 0.500 0.500
Pd1 0.000 0.000 0.500
Pd2 0.500 0.000 0.000
Mg1 0.000 0.000 0.000
# Energy relative to the elements   8.8 kcal/mol of atoms



# 6
# Ni2SnMo2 PBE-GGA optimized geometry
data_Ni2SnMo2
_chemical_formula_sum 'Ni4 Sn2 Mo4'
_space_group_name_H-M_alt 'P 1'
_space_group_IT_number 1
_cell_length_a 6.489
_cell_length_b 6.489
_cell_length_c 3.541
_cell_angle_alpha 90.00
_cell_angle_beta 90.00
_cell_angle_gamma 90.00
loop_
_space_group_symop_operation_xyz
'x,y,z'
loop_
_atom_site_label
_atom_site_fract_x
_atom_site_fract_y
_atom_site_fract_z
Sn1 0.000 0.000 0.000
Sn2 0.500 0.500 0.000
Mo1 0.335 0.165 0.500
Mo2 0.835 0.335 0.500
Mo3 0.665 0.835 0.500
Mo4 0.165 0.665 0.500
Ni1 0.373 0.873 0.000
Ni2 0.627 0.127 0.000
Ni3 0.873 0.627 0.000
Ni4 0.127 0.373 0.000
# Energy relative to the elements   4.2 kcal/mol of atoms